[1]
## HfCd3W (PBEsol)

Data for an optimized crystal structure of HfCd3W.

Geometry as extended XYZ:
```
5
Lattice="5.032 0.000 0.000 0.000 5.032 0.000 0.000 0.000 5.032" Properties=species:S:1:pos:R:3 pbc="T T T"
Hf 0.000 0.000 0.000
Cd 0.000 2.516 2.516
Cd 2.516 0.000 2.516
Cd 2.516 2.516 0.000
W 2.516 2.516 2.516
```

Output
final energy: -3.98 eV per atom
ΔH_f (0 K): 1595.7 meV per atom
space group: No. 221

---

[2]
## Mg3ScRu (PBEsol)

Data for an optimized crystal structure of Mg3ScRu.

Geometry as extended XYZ:
```
5
Lattice="4.848 0.000 0.000 0.000 4.848 0.000 0.000 0.000 4.848" Properties=species:S:1:pos:R:3 pbc="T T T"
Mg 0.000 0.000 2.424
Mg 0.000 2.424 0.000
Mg 2.424 0.000 0.000
Sc 2.424 2.424 2.424
Ru 0.000 0.000 0.000
```

Output
final energy: -3.98 eV per atom
ΔH_f (0 K): 404.0 meV per atom
space group: No. 221

---

[3]
## Te4Pt3 (PBEsol)

Data for an optimized crystal structure of Te4Pt3.

Geometry as extended XYZ:
```
7
Lattice="1.996 1.153 11.698 -1.996 1.153 11.698 0.000 -2.305 11.698" Properties=species:S:1:pos:R:3 pbc="T T T"
Te 0.000 0.000 1.928
Te 0.000 0.000 7.218
Te 0.000 0.000 27.876
Te 0.000 0.000 33.166
Pt 0.000 0.000 12.413
Pt 0.000 0.000 17.547
Pt 0.000 0.000 22.681
```

Output
final energy: -5.39 eV per atom
space group: No. 166

---

[4]
## HfAlSb2Te (PBEsol)

Data for an optimized crystal structure of HfAlSb2Te.

Geometry as extended XYZ:
```
5
Lattice="5.094 0.000 0.000 0.000 5.094 0.000 0.000 0.000 5.205" Properties=species:S:1:pos:R:3 pbc="T T T"
Hf 0.000 0.000 0.000
Al 2.547 2.547 2.602
Sb 0.000 2.547 2.602
Sb 2.547 0.000 2.602
Te 2.547 2.547 0.000
```

Output
final energy: -4.78 eV per atom
space group: No. 123

---

[5]
## RbScTiPb2 (PBEsol)

Data for an optimized crystal structure of RbScTiPb2.

Geometry as extended XYZ:
```
5
Lattice="5.777 0.000 0.000 0.000 5.777 0.000 0.000 0.000 4.905" Properties=species:S:1:pos:R:3 pbc="T T T"
Rb 0.000 0.000 0.000
Sc 2.889 2.889 2.452
Ti 0.000 0.000 2.452
Pb 0.000 2.889 0.000
Pb 2.889 0.000 0.000
```

Output
final energy: -3.23 eV per atom
ΔH_f (0 K): 1555.4 meV per atom
space group: No. 123

---

[6]
## SrLi2Al2 (PBEsol)

Data for an optimized crystal structure of SrLi2Al2.

Geometry as extended XYZ:
```
10
Lattice="8.322 0.000 0.000 0.000 8.322 0.000 0.000 0.000 3.102" Properties=species:S:1:pos:R:3 pbc="T T T"
Sr 0.000 0.000 0.000
Sr 4.161 4.161 0.000
Li 1.453 2.708 1.551
Li 2.708 6.869 1.551
Li 5.614 1.453 1.551
Li 6.869 5.614 1.551
Al 0.959 5.120 0.000
Al 3.201 0.959 0.000
Al 5.120 7.362 0.000
Al 7.362 3.201 0.000
```

Output
final energy: -2.77 eV per atom
ΔH_f (0 K): 18.9 meV per atom
space group: No. 127

---

[7]
## KTlCd2 (PBEsol)

Data for an optimized crystal structure of KTlCd2.

Geometry as extended XYZ:
```
4
Lattice="3.563 0.000 0.000 0.000 3.563 0.000 0.000 0.000 8.684" Properties=species:S:1:pos:R:3 pbc="T T T"
K 0.000 0.000 0.000
Tl 1.781 1.781 2.624
Cd 0.000 0.000 4.525
Cd 1.781 1.781 6.162
```

Output
final energy: -1.54 eV per atom
energy relative to the lowest polymorph listed for this composition: 9 meV per atom
ΔH_f (0 K): -0.3 meV per atom
space group: No. 99

---

[8]
## MnCd9O10 (PBEsol)

Data for an optimized crystal structure of MnCd9O10.

Geometry as extended XYZ:
```
20
Lattice="5.721 0.000 0.000 -1.929 6.326 0.000 -0.977 -2.020 7.072" Properties=species:S:1:pos:R:3 pbc="T T T"
Mn 0.000 0.000 0.000
Cd -0.964 3.163 0.000
Cd -1.012 4.888 2.838
Cd -0.020 1.708 2.817
Cd -0.037 3.462 5.651
Cd 0.947 0.291 5.679
Cd 1.868 4.016 1.393
Cd 2.852 0.845 1.421
Cd 2.835 2.598 4.256
Cd 3.827 -0.581 4.234
O -1.966 4.595 5.052
O -0.966 1.441 4.956
O -0.282 5.328 0.617
O 0.910 1.889 0.641
O 0.919 3.749 3.474
O 1.896 0.557 3.598
O 1.905 2.418 6.431
O 3.097 -1.022 6.455
O 3.781 2.866 2.116
O 4.781 -0.288 2.020
```

Output
final energy: -4.69 eV per atom
space group: No. 2